# 1
Entry from the Alexandria database: an optimized crystal structure of TiCuAg2Rh (PBE).

Properties
**Fermi-level density of states**: 9.54 states/eV/f.u.
**SG**: P4/mmm
**DFT formation energy**: 1458.6 meV/atom

a = 4.821 Å, b = 4.451 Å, c = 4.821 Å
α = 90.00°, β = 90.00°, γ = 90.00°
Positions (direct):
Ag1 0.500 0.000 0.000
Ag2 0.000 0.000 0.500
Rh1 0.500 0.500 0.500
Cu1 0.000 0.500 0.000
Ti1 0.000 0.000 0.000

# 2
Entry from the Alexandria database: an optimized crystal structure of TlCuAgRh (PBE).

Properties
**Fermi-level density of states**: 3.01 states/eV/f.u.
**SG**: F-43m
**DFT formation energy**: 190.4 meV/atom

a = 4.572 Å, b = 4.572 Å, c = 4.572 Å
α = 60.00°, β = 60.00°, γ = 60.00°
Positions (direct):
Cu1 0.250 0.250 0.250
Rh1 0.750 0.750 0.750
Ag1 0.500 0.500 0.500
Tl1 0.000 0.000 0.000

# 3
Entry from the Alexandria database: an optimized crystal structure of Tm4Cu2AgRh (PBE).

Properties
**Fermi-level density of states**: 6.26 states/eV/f.u.
**SG**: R-3m
**DFT formation energy**: -466.4 meV/atom

a = 4.898 Å, b = 4.898 Å, c = 8.448 Å
α = 73.15°, β = 73.15°, γ = 60.00°
Positions (direct):
Cu1 0.253 0.253 0.240
Cu2 0.747 0.747 0.760
Ag1 0.000 0.000 0.000
Tm1 0.871 0.871 0.388
Tm2 0.380 0.380 0.860
Tm3 0.129 0.129 0.612
Tm4 0.620 0.620 0.140
Rh1 0.500 0.500 0.500

# 4
Entry from the Alexandria database: an optimized crystal structure of YCuAgRh (PBE).

Properties
**Fermi-level density of states**: 1.83 states/eV/f.u.
**SG**: F-43m
**DFT formation energy**: -234.1 meV/atom

a = 4.674 Å, b = 4.674 Å, c = 4.674 Å
α = 60.00°, β = 60.00°, γ = 60.00°
Positions (direct):
Ag1 0.000 0.000 0.000
Cu1 0.750 0.750 0.750
Rh1 0.250 0.250 0.250
Y1 0.500 0.500 0.500

# 5
Entry from the Alexandria database: an optimized crystal structure of ZrCuAgRh (PBE).

Properties
**Fermi-level density of states**: 3.38 states/eV/f.u.
**SG**: F-43m
**DFT formation energy**: -205.3 meV/atom

a = 4.550 Å, b = 4.550 Å, c = 4.550 Å
α = 60.00°, β = 60.00°, γ = 60.00°
Positions (direct):
Rh1 0.500 0.500 0.500
Zr1 0.250 0.250 0.250
Ag1 0.750 0.750 0.750
Cu1 0.000 0.000 0.000

# 6
Entry from the Alexandria database: an optimized crystal structure of CuAg2Ru (PBE).

Properties
**Fermi-level density of states**: 2.39 states/eV/f.u.
**SG**: P4mm
**DFT formation energy**: 315.7 meV/atom

a = 2.779 Å, b = 2.779 Å, c = 8.054 Å
α = 90.00°, β = 90.00°, γ = 90.00°
Positions (direct):
Ag1 0.000 0.000 0.992
Ag2 0.500 0.500 0.270
Ru1 0.500 0.500 0.727
Cu1 0.000 0.000 0.511

# 7
Entry from the Alexandria database: an optimized crystal structure of Cu2AgRu (PBE).

Properties
**Fermi-level density of states**: 3.04 states/eV/f.u.
**SG**: P2/m
**DFT formation energy**: 301.4 meV/atom

a = 3.736 Å, b = 2.633 Å, c = 6.309 Å
α = 65.58°, β = 90.00°, γ = 90.00°
Positions (direct):
Ag1 0.500 0.750 0.750
Cu1 0.000 0.978 0.021
Cu2 0.000 0.522 0.479
Ru1 0.500 0.250 0.250

# 8
Entry from the Alexandria database: an optimized crystal structure of CuAg2Ru (PBE).

Properties
**Fermi-level density of states**: 2.05 states/eV/f.u.
**SG**: P4/mmm
**DFT formation energy**: 394.3 meV/atom

a = 2.749 Å, b = 2.749 Å, c = 8.226 Å
α = 90.00°, β = 90.00°, γ = 90.00°
Positions (direct):
Ag1 0.000 0.000 0.488
Ag2 0.000 0.000 0.012
Cu1 0.500 0.500 0.250
Ru1 0.500 0.500 0.750

# 9
Entry from the Alexandria database: an optimized crystal structure of CuAgRu2 (PBE).

Properties
**Fermi-level density of states**: 4.64 states/eV/f.u.
**SG**: Cmmm
**DFT formation energy**: 516.8 meV/atom

a = 2.674 Å, b = 2.674 Å, c = 9.430 Å
α = 90.00°, β = 90.00°, γ = 118.65°
Positions (direct):
Ru1 0.000 0.000 0.983
Ru2 0.000 0.000 0.517
Ag1 0.500 0.500 0.250
Cu1 0.500 0.500 0.750

# 10
Entry from the Alexandria database: an optimized crystal structure of CuAgRu2 (PBE).

Properties
**Fermi-level density of states**: 4.43 states/eV/f.u.
**SG**: I-42d
**DFT formation energy**: 951.2 meV/atom

a = 7.257 Å, b = 7.257 Å, c = 5.679 Å
α = 50.29°, β = 50.29°, γ = 90.00°
Positions (direct):
Ag1 0.000 0.000 0.000
Ag2 0.750 0.250 0.500
Cu1 0.250 0.750 0.500
Cu2 0.500 0.500 0.000
Ru1 0.579 0.125 0.250
Ru2 0.171 0.625 0.250
Ru3 0.875 0.829 0.750
Ru4 0.375 0.421 0.750

# 11
Entry from the Alexandria database: an optimized crystal structure of CuAg2Ru (PBE).

Properties
**Fermi-level density of states**: 3.88 states/eV/f.u.
**SG**: Pmm2
**DFT formation energy**: 405.4 meV/atom

a = 2.714 Å, b = 3.873 Å, c = 5.959 Å
α = 90.00°, β = 90.00°, γ = 90.00°
Positions (direct):
Ag1 0.000 0.000 0.989
Ag2 0.500 0.500 0.261
Ru1 0.500 0.500 0.727
Cu1 0.000 0.000 0.524

# 12
Entry from the Alexandria database: an optimized crystal structure of Cu2AgRu2 (PBE).

Properties
**Fermi-level density of states**: 4.97 states/eV/f.u.
**SG**: P4/mbm
**DFT formation energy**: 514.7 meV/atom

a = 7.513 Å, b = 7.513 Å, c = 2.629 Å
α = 90.00°, β = 90.00°, γ = 90.00°
Positions (direct):
Ru1 0.381 0.119 0.500
Ru2 0.881 0.381 0.500
Ru3 0.619 0.881 0.500
Ru4 0.119 0.619 0.500
Ag1 0.500 0.500 0.000
Ag2 0.000 0.000 0.000
Cu1 0.676 0.176 0.000
Cu2 0.176 0.324 0.000
Cu3 0.824 0.676 0.000
Cu4 0.324 0.824 0.000

- Fermi-level density of states of number 9 (CuAgRu2)?
  4.64 states/eV/f.u.

- Look up the DFT formation energy of the sixth one.
  315.7 meV/atom